Record 1
The following is a PBE calculation of an optimized crystal structure of LiY3Ta, from the Alexandria database.

Cell lengths 5.122, 5.122, 5.122 Å; angles 90.00, 90.00, 90.00 degrees
Fractional positions:
Li1 0.000 0.000 0.000
Y1 0.000 0.000 0.500
Y2 0.000 0.500 0.000
Y3 0.500 0.000 0.000
Ta1 0.500 0.500 0.500

**Electronic total energy**: -5.63 eV per atom
**Relative energy among the computed polymorphs**: 0.379 eV per atom
**ΔE_f**: 482 kJ/mol of formula units
**M_tot**: 0.22 Bohr magnetons per cell

Record 2
The following is a PBE calculation of an optimized crystal structure of LiYTa, from the Alexandria database.

Cell lengths 6.475, 6.475, 6.475 Å; angles 90.00, 90.00, 90.00 degrees
Fractional positions:
Li1 0.000 0.000 0.000
Li2 0.000 0.500 0.500
Li3 0.500 0.000 0.500
Li4 0.500 0.500 0.000
Y1 0.250 0.250 0.250
Y2 0.250 0.750 0.750
Y3 0.750 0.250 0.750
Y4 0.750 0.750 0.250
Ta1 0.250 0.250 0.750
Ta2 0.250 0.750 0.250
Ta3 0.750 0.250 0.250
Ta4 0.750 0.750 0.750

**Electronic total energy**: -5.64 eV per atom
**Relative energy among the computed polymorphs**: 0.684 eV per atom
**ΔE_f**: 320 kJ/mol of formula units
**M_tot**: 0.00 Bohr magnetons per cell

Record 3
The following is a PBE calculation of an optimized crystal structure of LiYTa2, from the Alexandria database.

Cell lengths 2.978, 5.244, 5.340 Å; angles 90.00, 102.47, 90.00 degrees
Fractional positions:
Li1 0.000 0.000 0.000
Y1 0.500 0.000 0.500
Ta1 0.160 0.500 0.768
Ta2 0.840 0.500 0.232

**Electronic total energy**: -7.60 eV per atom
**Relative energy among the computed polymorphs**: 0.123 eV per atom
**ΔE_f**: 163 kJ/mol of formula units
**M_tot**: 0.00 Bohr magnetons per cell

Record 4
The following is a PBE calculation of an optimized crystal structure of LiYTa2, from the Alexandria database.

Cell lengths 5.518, 10.710, 3.004 Å; angles 90.00, 113.74, 90.00 degrees
Fractional positions:
Li1 0.000 0.000 0.000
Li2 0.500 0.500 0.000
Y1 0.000 0.500 0.000
Y2 0.500 0.000 0.000
Ta1 0.250 0.250 0.500
Ta2 0.250 0.750 0.500
Ta3 0.750 0.250 0.500
Ta4 0.750 0.750 0.500

**Electronic total energy**: -7.55 eV per atom
**Relative energy among the computed polymorphs**: 0.176 eV per atom
**ΔE_f**: 184 kJ/mol of formula units
**M_tot**: 0.00 Bohr magnetons per cell

Record 5
The following is a PBE calculation of an optimized crystal structure of Li2YTa, from the Alexandria database.

Cell lengths 4.832, 4.832, 3.266 Å; angles 90.00, 90.00, 90.00 degrees
Fractional positions:
Li1 0.000 0.500 0.000
Li2 0.500 0.000 0.000
Y1 0.000 0.000 0.500
Ta1 0.500 0.500 0.500

**Electronic total energy**: -4.96 eV per atom
**Relative energy among the computed polymorphs**: 0.278 eV per atom
**ΔE_f**: 223 kJ/mol of formula units
**M_tot**: 0.00 Bohr magnetons per cell

Record 6
The following is a PBE calculation of an optimized crystal structure of Li2YTa, from the Alexandria database.

Cell lengths 3.103, 4.995, 10.967 Å; angles 90.00, 90.00, 90.00 degrees
Fractional positions:
Li1 0.000 0.000 0.233
Li2 0.000 0.000 0.767
Li3 0.500 0.500 0.233
Li4 0.500 0.500 0.767
Y1 0.000 0.500 0.500
Y2 0.500 0.000 0.500
Ta1 0.000 0.500 0.000
Ta2 0.500 0.000 0.000

**Electronic total energy**: -5.03 eV per atom
**Relative energy among the computed polymorphs**: 0.206 eV per atom
**ΔE_f**: 195 kJ/mol of formula units
**M_tot**: 0.00 Bohr magnetons per cell

Record 7
The following is a PBE calculation of an optimized crystal structure of Li2YTa, from the Alexandria database.

Cell lengths 5.981, 9.333, 2.885 Å; angles 90.00, 90.00, 90.00 degrees
Fractional positions:
Li1 0.250 0.250 0.000
Li2 0.250 0.750 0.000
Li3 0.750 0.250 0.000
Li4 0.750 0.750 0.000
Y1 0.000 0.000 0.500
Y2 0.500 0.500 0.500
Ta1 0.000 0.500 0.500
Ta2 0.500 0.000 0.500

**Electronic total energy**: -4.95 eV per atom
**Relative energy among the computed polymorphs**: 0.289 eV per atom
**ΔE_f**: 227 kJ/mol of formula units
**M_tot**: 0.00 Bohr magnetons per cell

Record 8
The following is a PBE calculation of an optimized crystal structure of LiYTa2, from the Alexandria database.

Cell lengths 9.757, 2.959, 5.839 Å; angles 90.00, 95.24, 90.00 degrees
Fractional positions:
Li1 0.000 0.000 0.000
Li2 0.500 0.500 0.000
Y1 0.254 0.500 0.237
Y2 0.754 0.000 0.237
Ta1 0.017 0.500 0.575
Ta2 0.257 0.000 0.713
Ta3 0.517 0.000 0.575
Ta4 0.757 0.500 0.713

**Electronic total energy**: -7.58 eV per atom
**Relative energy among the computed polymorphs**: 0.142 eV per atom
**ΔE_f**: 171 kJ/mol of formula units
**M_tot**: 0.00 Bohr magnetons per cell

Across the entries above, N(E_F) takes the values 10.3; 18.0; 3.7; 8.0; 3.1; 7.6; 9.0; 5.3 states/eV/cell, respectively.